Record 1
A relaxed HoCuSi2Pd crystal, computed with PBE.

Magnetization (μB/f.u.): 0.0
Crystal system: tetragonal
Total DFT energy (no corrections) (eV/atom): -5.63
Volume (A^3/atom): 16.39

Lattice parameters (Å, degrees): 4.0301 4.0301 10.0904 90.00 90.00 90.00
Last column: nearest neighbours and their distance in Å.
Space group I-4m2 (No. 119)
Unique sites:
Ho: 0.0000 0.0000 0.0000 x2  8 Si 3.08, 4 Pd 3.23, 4 Cu 3.23
Cu: 0.0000 0.5000 0.7500 x2  4 Si 2.43
Si: 0.0000 0.0000 0.3847 x4  1 Si 2.33, 2 Cu 2.43, 2 Pd 2.43
Pd: 0.0000 0.5000 0.2500 x2  4 Si 2.43

***

Record 2
A relaxed TbTlZnS3 crystal, computed with PBE.

Magnetization (μB/f.u.): 0.0
Distance to the lowest polymorph of the same formula (meV per atom): 147
Crystal system: monoclinic
Volume (A^3/atom): 23.91

Lattice parameters (Å, degrees): 16.4098 4.0665 8.8878 90.00 104.60 90.00
Last column: nearest neighbours and their distance in Å.
Space group C2/m (No. 12)
Unique sites:
Tb: 0.1700 0.0000 0.0948 x4  6 S 2.70-2.80
Tl: 0.1406 0.0000 0.5633 x4  7 S 3.02-3.38
Zn: 0.0004 0.5000 0.2173 x4  3 S 2.39-2.52
S: 0.0000 0.0000 0.0000 x2  2 Tb 2.70, 4 Zn 2.80
S: 0.0000 0.5000 0.5000 x2  2 Zn 2.51
S: 0.1508 0.5000 0.2841 x4  1 Zn 2.39
S: 0.1579 0.5000 0.8731 x4  1 Zn 2.52, 3 Tb 2.77-2.80

***

Record 3
A relaxed ZrBeCdNi crystal, computed with PBE.

Magnetization (μB/f.u.): 0.0
Distance to the lowest polymorph of the same formula (meV per atom): 184
Crystal system: cubic
Volume (A^3/atom): 15.64

Lattice parameters (Å, degrees): 6.3020 6.3020 6.3020 90.00 90.00 90.00
Last column: nearest neighbours and their distance in Å.
Space group F-43m (No. 216)
Unique sites:
Zr: 0.0000 0.0000 0.0000 x4  4 Cd 2.73, 4 Ni 2.73
Be: 0.0000 0.0000 0.5000 x4  4 Cd 2.73, 4 Ni 2.73
Cd: 0.2500 0.2500 0.2500 x4  4 Zr 2.73, 4 Be 2.73
Ni: 0.2500 0.2500 0.7500 x4  4 Zr 2.73, 4 Be 2.73

***

Record 4
A relaxed LiBPtPb crystal, computed with PBE.

Magnetization (μB/f.u.): 0.0
Distance to the lowest polymorph of the same formula (meV per atom): 0
Crystal system: cubic
Volume (A^3/atom): 15.16

Lattice parameters (Å, degrees): 6.2367 6.2367 6.2367 90.00 90.00 90.00
Last column: nearest neighbours and their distance in Å.
Space group F-43m (No. 216)
Unique sites:
Li: 0.0000 0.0000 0.0000 x4  4 Pt 2.70, 4 Pb 2.70
B: 0.0000 0.0000 0.5000 x4  4 Pb 2.70, 4 Pt 2.70
Pt: 0.2500 0.2500 0.2500 x4  4 Li 2.70, 4 B 2.70
Pb: 0.2500 0.2500 0.7500 x4  4 Li 2.70, 4 B 2.70

***

Record 5
A relaxed Hf4In2CO crystal, computed with PBE.

Magnetization (μB/f.u.): 0.0
Crystal system: trigonal
Total DFT energy (no corrections) (eV/atom): -8.38
Volume (A^3/atom): 17.33

Lattice parameters (Å, degrees): 3.2828 3.2828 14.8554 90.00 90.00 120.00
Last column: nearest neighbours and their distance in Å.
Space group P-3m1 (No. 164)
Unique sites:
Hf: 0.3333 0.6667 0.0859 x2  3 O 2.29
Hf: 0.3333 0.6667 0.4167 x2  3 C 2.26
In: 0.3333 0.6667 0.7511 x2  6 Hf 3.08-3.13, 6 In 3.28
C: 0.0000 0.0000 0.5000 x1  6 Hf 2.26
O: 0.0000 0.0000 0.0000 x1  6 Hf 2.29

***

Record 6
A relaxed CuMo2Pd crystal, computed with PBE.

Magnetization (μB/f.u.): 0.0
Crystal system: cubic
DFT formation energy (meV per atom): 298
Volume (A^3/atom): 14.95

Lattice parameters (Å, degrees): 6.2076 6.2076 6.2076 90.00 90.00 90.00
Last column: nearest neighbours and their distance in Å.
Space group F-43m (No. 216)
Unique sites:
Cu: 0.0000 0.0000 0.0000 x4  4 Mo 2.69, 4 Pd 2.69
Mo: 0.0000 0.0000 0.5000 x4  4 Mo 2.69, 4 Pd 2.69
Mo: 0.2500 0.2500 0.7500 x4  4 Mo 2.69, 4 Cu 2.69
Pd: 0.2500 0.2500 0.2500 x4  4 Mo 2.69, 4 Cu 2.69

***

Record 7
A relaxed Tb4SmMg crystal, computed with PBE.

Magnetization (μB/f.u.): 0.1
Crystal system: trigonal
Total DFT energy (no corrections) (eV/atom): -3.87
Volume (A^3/atom): 33.12

Lattice parameters (Å, degrees): 5.5268 5.5268 22.5340 90.00 90.00 120.00
Last column: nearest neighbours and their distance in Å.
Space group R-3m (No. 166, hexagonal axes)
Unique sites:
Tb: 0.0000 0.0000 0.1324 x6  1 Mg 2.98, 3 Sm 3.28
Tb: 0.0000 0.0000 0.2828 x6  4 Tb 3.39-3.69, 3 Mg 3.39
Sm: 0.0000 0.0000 0.5000 x3  6 Tb 3.28
Mg: 0.0000 0.0000 0.0000 x3  2 Tb 2.98

***

Record 8
A relaxed YNb2In crystal, computed with PBE.

Magnetization (μB/f.u.): 0.0
Crystal system: cubic
Total DFT energy (no corrections) (eV/atom): -7.23
Volume (A^3/atom): 21.39

Lattice parameters (Å, degrees): 6.9949 6.9949 6.9949 90.00 90.00 90.00
Last column: nearest neighbours and their distance in Å.
Space group F-43m (No. 216)
Unique sites:
Y: 0.0000 0.0000 0.0000 x4  4 In 3.03, 4 Nb 3.03
Nb: 0.0000 0.0000 0.5000 x4  4 In 3.03, 4 Nb 3.03
Nb: 0.2500 0.2500 0.2500 x4  4 Nb 3.03, 4 Y 3.03
In: 0.2500 0.2500 0.7500 x4  4 Nb 3.03, 4 Y 3.03

***

> Among the records above, which one has the highest magnetization?

Tb4SmMg

***

Please write out number 5 again, unchanged.
A relaxed Hf4In2CO crystal, computed with PBE.

Magnetization (μB/f.u.): 0.0
Crystal system: trigonal
Total DFT energy (no corrections) (eV/atom): -8.38
Volume (A^3/atom): 17.33

Lattice parameters (Å, degrees): 3.2828 3.2828 14.8554 90.00 90.00 120.00
Last column: nearest neighbours and their distance in Å.
Space group P-3m1 (No. 164)
Unique sites:
Hf: 0.3333 0.6667 0.0859 x2  3 O 2.29
Hf: 0.3333 0.6667 0.4167 x2  3 C 2.26
In: 0.3333 0.6667 0.7511 x2  6 Hf 3.08-3.13, 6 In 3.28
C: 0.0000 0.0000 0.5000 x1  6 Hf 2.26
O: 0.0000 0.0000 0.0000 x1  6 Hf 2.29

***

Please write out number 8 again, unchanged.
A relaxed YNb2In crystal, computed with PBE.

Magnetization (μB/f.u.): 0.0
Crystal system: cubic
Total DFT energy (no corrections) (eV/atom): -7.23
Volume (A^3/atom): 21.39

Lattice parameters (Å, degrees): 6.9949 6.9949 6.9949 90.00 90.00 90.00
Last column: nearest neighbours and their distance in Å.
Space group F-43m (No. 216)
Unique sites:
Y: 0.0000 0.0000 0.0000 x4  4 In 3.03, 4 Nb 3.03
Nb: 0.0000 0.0000 0.5000 x4  4 In 3.03, 4 Nb 3.03
Nb: 0.2500 0.2500 0.2500 x4  4 Nb 3.03, 4 Y 3.03
In: 0.2500 0.2500 0.7500 x4  4 Nb 3.03, 4 Y 3.03